{
  "formula": "LiP2Pb",
  "functional": "PBE",
  "state": "optimized geometry",
  "e_form_ev_per_atom": 0.1693,
  "m_tot_mub_per_cell": 0.0,
  "lattice_angstrom": [[-1.109, -2.275, 3.350], [3.404, -2.593, -0.634], [2.413, 2.548, 2.530]],
  "species": ["Li", "P", "P", "Pb"],
  "frac_coords": [[0.500, 0.000, 0.500], [0.000, 0.000, 0.000], [0.000, 0.500, 0.500], [0.500, 0.500, 0.000]]
}